Ga2CuHgPb: relaxed, PBE.

SG = No. 123
total energy = -2.67 eV/atom
Fermi-level density of states = 0.505 states/eV per atom
E above lowest polymorph = 0.11 eV/f.u.
formation enthalpy at 0 K = 0.164 eV/atom

Unit cell a=4.678 b=4.678 c=5.407 alpha=90.00 beta=90.00 gamma=90.00
Atoms (fractional coordinates):
Cu  0.000  0.000  0.000
Pb  0.500  0.500  0.500
Ga  0.000  0.500  0.000
Ga  0.500  0.000  0.000
Hg  0.000  0.000  0.500